Below is a geometry-optimized BaReF2 structure, with properties calculated at the PBE level.

abc: 5.4324 5.4324 5.4324
angles: 43.58 43.58 43.58
Fractional positions:
Ba (0.0000, 0.0000, 0.0000)
Re (0.5000, 0.5000, 0.5000)
F (0.2033, 0.2033, 0.2033)
F (0.7967, 0.7967, 0.7967)

Output
Energy above the lowest structure with this stoichiometry, meV/atom: 284
E_form (uncorrected), eV per formula unit: -2.609